First-principles (PBE) data for a geometry-optimized KLaSn3 structure, as listed in Alexandria.

## Properties
Total moment ... 0.0 Bohr magnetons per cell
Calculated total energy ... -16.998 eV per cell
SG ... Pm-3m, No. 221
Crystal system ... cubic
D(E_F) ... 3.291 states/eV per cell
Distance to the lowest polymorph of the same formula ... 0 meV per atom

Structure (CIF):
```
data_KLaSn3
_cell_length_a 6.116
_cell_length_b 6.116
_cell_length_c 6.116
_cell_angle_alpha 90.00
_cell_angle_beta 90.00
_cell_angle_gamma 90.00
_symmetry_space_group_name_H-M 'P 1'
_symmetry_Int_Tables_number 1
_symmetry_space_group_name_Hall 'P 1'
loop_
_atom_site_label
_atom_site_fract_x
_atom_site_fract_y
_atom_site_fract_z
K1 0.000 0.000 0.000
La1 0.500 0.500 0.500
Sn1 0.000 0.500 0.500
Sn2 0.500 0.000 0.500
Sn3 0.500 0.500 0.000
```



First-principles (PBE) data for a geometry-optimized K2LaSn2 structure, as listed in Alexandria.

## Properties
Total moment ... 0.0 Bohr magnetons per cell
Calculated total energy ... -31.751 eV per cell
SG ... P4/mbm, No. 127
Crystal system ... tetragonal
D(E_F) ... 6.930 states/eV per cell

Structure (CIF):
```
data_K2LaSn2
_cell_length_a 8.278
_cell_length_b 8.278
_cell_length_c 5.861
_cell_angle_alpha 90.00
_cell_angle_beta 90.00
_cell_angle_gamma 90.00
_symmetry_space_group_name_H-M 'P 1'
_symmetry_Int_Tables_number 1
_symmetry_space_group_name_Hall 'P 1'
loop_
_atom_site_label
_atom_site_fract_x
_atom_site_fract_y
_atom_site_fract_z
K1 0.167 0.333 0.000
K2 0.333 0.833 0.000
K3 0.667 0.167 0.000
K4 0.833 0.667 0.000
La1 0.000 0.000 0.500
La2 0.500 0.500 0.500
Sn1 0.123 0.623 0.500
Sn2 0.377 0.123 0.500
Sn3 0.623 0.877 0.500
Sn4 0.877 0.377 0.500
```



First-principles (PBE) data for a geometry-optimized KLaSn3 structure, as listed in Alexandria.

## Properties
Total moment ... 0.0 Bohr magnetons per cell
Calculated total energy ... -15.063 eV per cell
SG ... Pm-3m, No. 221
Crystal system ... cubic
D(E_F) ... 4.849 states/eV per cell
Distance to the lowest polymorph of the same formula ... 387 meV per atom

Structure (CIF):
```
data_KLaSn3
_cell_length_a 5.641
_cell_length_b 5.641
_cell_length_c 5.641
_cell_angle_alpha 90.00
_cell_angle_beta 90.00
_cell_angle_gamma 90.00
_symmetry_space_group_name_H-M 'P 1'
_symmetry_Int_Tables_number 1
_symmetry_space_group_name_Hall 'P 1'
loop_
_atom_site_label
_atom_site_fract_x
_atom_site_fract_y
_atom_site_fract_z
K1 0.000 0.000 0.000
La1 0.500 0.500 0.500
Sn1 0.000 0.000 0.500
Sn2 0.000 0.500 0.000
Sn3 0.500 0.000 0.000
```



First-principles (PBE) data for a geometry-optimized KLaSn4 structure, as listed in Alexandria.

## Properties
Total moment ... 0.0 Bohr magnetons per cell
Calculated total energy ... -24.213 eV per cell
SG ... F-43m, No. 216
Crystal system ... cubic

Structure (CIF):
```
data_KLaSn4
_cell_length_a 6.336
_cell_length_b 6.336
_cell_length_c 6.336
_cell_angle_alpha 60.00
_cell_angle_beta 60.00
_cell_angle_gamma 60.00
_symmetry_space_group_name_H-M 'P 1'
_symmetry_Int_Tables_number 1
_symmetry_space_group_name_Hall 'P 1'
loop_
_atom_site_label
_atom_site_fract_x
_atom_site_fract_y
_atom_site_fract_z
K1 0.000 0.000 0.000
La1 0.750 0.750 0.750
Sn1 0.376 0.376 0.376
Sn2 0.376 0.376 0.873
Sn3 0.376 0.873 0.376
Sn4 0.873 0.376 0.376
```



First-principles (PBE) data for a geometry-optimized KLa3Sn structure, as listed in Alexandria.

## Properties
Total moment ... 0.0 Bohr magnetons per cell
Calculated total energy ... -15.893 eV per cell
SG ... Pm-3m, No. 221
Crystal system ... cubic
D(E_F) ... 2.641 states/eV per cell
Distance to the lowest polymorph of the same formula ... 648 meV per atom

Structure (CIF):
```
data_KLa3Sn
_cell_length_a 5.490
_cell_length_b 5.490
_cell_length_c 5.490
_cell_angle_alpha 90.00
_cell_angle_beta 90.00
_cell_angle_gamma 90.00
_symmetry_space_group_name_H-M 'P 1'
_symmetry_Int_Tables_number 1
_symmetry_space_group_name_Hall 'P 1'
loop_
_atom_site_label
_atom_site_fract_x
_atom_site_fract_y
_atom_site_fract_z
K1 0.000 0.000 0.000
La1 0.000 0.000 0.500
La2 0.000 0.500 0.000
La3 0.500 0.000 0.000
Sn1 0.500 0.500 0.500
```



First-principles (PBE) data for a geometry-optimized KLa2Sn3Te6 structure, as listed in Alexandria.

## Properties
Total moment ... 0.0 Bohr magnetons per cell
Calculated total energy ... -51.635 eV per cell
SG ... C2/m, No. 12
Crystal system ... monoclinic
D(E_F) ... 5.433 states/eV per cell
Formation energy from raw total energies ... -819 meV per atom

Structure (CIF):
```
data_KLa2Sn3Te6
_cell_length_a 10.375
_cell_length_b 10.375
_cell_length_c 9.411
_cell_angle_alpha 104.01
_cell_angle_beta 104.01
_cell_angle_gamma 25.47
_symmetry_space_group_name_H-M 'P 1'
_symmetry_Int_Tables_number 1
_symmetry_space_group_name_Hall 'P 1'
loop_
_atom_site_label
_atom_site_fract_x
_atom_site_fract_y
_atom_site_fract_z
K1 0.000 0.000 0.000
La1 0.332 0.332 0.661
La2 0.668 0.668 0.339
Sn1 0.000 0.000 0.500
Sn2 0.341 0.341 0.156
Sn3 0.659 0.659 0.844
Te1 0.166 0.166 0.590
Te2 0.179 0.179 0.094
Te3 0.495 0.495 0.730
Te4 0.505 0.505 0.270
Te5 0.821 0.821 0.906
Te6 0.834 0.834 0.410
```



Copy entry 5 word for word.
First-principles (PBE) data for a geometry-optimized KLa3Sn structure, as listed in Alexandria.

## Properties
Total moment ... 0.0 Bohr magnetons per cell
Calculated total energy ... -15.893 eV per cell
SG ... Pm-3m, No. 221
Crystal system ... cubic
D(E_F) ... 2.641 states/eV per cell
Distance to the lowest polymorph of the same formula ... 648 meV per atom

Structure (CIF):
```
data_KLa3Sn
_cell_length_a 5.490
_cell_length_b 5.490
_cell_length_c 5.490
_cell_angle_alpha 90.00
_cell_angle_beta 90.00
_cell_angle_gamma 90.00
_symmetry_space_group_name_H-M 'P 1'
_symmetry_Int_Tables_number 1
_symmetry_space_group_name_Hall 'P 1'
loop_
_atom_site_label
_atom_site_fract_x
_atom_site_fract_y
_atom_site_fract_z
K1 0.000 0.000 0.000
La1 0.000 0.000 0.500
La2 0.000 0.500 0.000
La3 0.500 0.000 0.000
Sn1 0.500 0.500 0.500
```